The following is a DFT calculation (PBE-GGA) of an optimized crystal structure of Al2OsW.

The structure in extended XYZ format:
```
4
Lattice="-1.756 -3.388 -3.097 -0.687 -4.810 -0.738 -4.188 -0.891 1.359" Properties=species:S:1:pos:R:3 pbc="T T T"
W -1.575 -2.181 -0.601
Os -3.410 -4.589 -1.222
Al -4.897 -6.898 -1.940
Al -2.508 -8.162 -3.784
```

Its density of states at the Fermi level is 2.1 states/eV/cell. The distance to the lowest polymorph of the same formula comes out at 132 meV per atom.

=====

The following is a DFT calculation (PBE-GGA) of an optimized crystal structure of Te3Rh.

The structure in extended XYZ format:
```
8
Lattice="3.916 -8.449 0.000 3.916 8.449 0.000 0.000 0.000 4.102" Properties=species:S:1:pos:R:3 pbc="T T T"
Te 3.916 6.650 3.077
Te 2.125 -2.420 1.026
Te 5.707 -2.420 1.026
Te 3.916 -6.650 1.026
Te 5.707 2.420 3.077
Te 2.125 2.420 3.077
Rh 3.916 -0.656 1.026
Rh 3.916 0.656 3.077
```

Its density of states at the Fermi level is 7.2 states/eV/cell. The uncorrected formation energy is 0.9 eV/f.u.

=====

The following is a DFT calculation (PBE-GGA) of an optimized crystal structure of Ce2PmPbC.

The structure in extended XYZ format:
```
5
Lattice="5.154 0.000 0.000 0.000 4.970 0.000 0.000 0.000 4.970" Properties=species:S:1:pos:R:3 pbc="T T T"
Pb 2.577 2.485 2.485
Ce 0.000 0.000 2.485
Ce 0.000 2.485 0.000
C 0.000 0.000 0.000
Pm 2.577 0.000 0.000
```

Its density of states at the Fermi level is 9.7 states/eV/cell.

=====

The following is a DFT calculation (PBE-GGA) of an optimized crystal structure of CrTe.

The structure in extended XYZ format:
```
12
Lattice="11.576 0.000 0.000 0.000 3.749 0.000 0.000 0.000 6.577" Properties=species:S:1:pos:R:3 pbc="T T T"
Cr 0.000 0.004 3.501
Cr 3.563 1.874 0.446
Cr 9.351 1.875 3.734
Cr 2.225 1.875 3.734
Cr 5.788 3.744 0.212
Cr 8.013 1.874 0.446
Te 1.991 0.000 1.709
Te 5.788 1.870 2.068
Te 7.779 3.748 4.997
Te 9.586 0.000 1.709
Te 3.798 3.748 4.997
Te 0.000 1.879 5.357
```

Its density of states at the Fermi level is 6.3 states/eV/cell. The uncorrected formation energy is 0.1 eV/f.u.

=====

Number 1: total moment 0.00 Bohr magnetons per cell, raw total energy -8.049 eV per atom. Number 2: total moment 0.00 Bohr magnetons per cell, raw total energy -3.981 eV per atom. Number 3: total moment 1.34 Bohr magnetons per cell, raw total energy -6.303 eV per atom. Number 4: total moment 6.43 Bohr magnetons per cell, raw total energy -6.349 eV per atom.